[1]
# TlFe2Os, optimized geometry, DFT GGA-PBE
# Space-group type   No. 122
# Formation energy from the elements   939 meV per atom
# Distance to the lowest polymorph of the same formula   421 meV per atom
data_TlFe2Os
_cell_length_a 5.7228
_cell_length_b 5.7228
_cell_length_c 5.7228
_cell_angle_alpha 102.83
_cell_angle_beta 102.83
_cell_angle_gamma 123.77
_symmetry_space_group_name_H-M 'P 1'
_symmetry_Int_Tables_number 1
loop_
_symmetry_equiv_pos_as_xyz
'x,y,z'
loop_
_atom_site_label
_atom_site_fract_x
_atom_site_fract_y
_atom_site_fract_z
Tl1 0.0000 0.0000 0.0000
Tl2 0.7500 0.2500 0.5000
Fe1 0.1671 0.6250 0.0421
Fe2 0.3750 0.4171 0.5421
Fe3 0.5829 0.1250 0.9579
Fe4 0.8750 0.8329 0.4579
Os1 0.2500 0.7500 0.5000
Os2 0.5000 0.5000 0.0000

***

[2]
# PrNi2Pt4, optimized geometry, DFT GGA-PBE
# Space-group type   No. 71
# Formation energy from the elements   -403 meV per atom
data_PrNi2Pt4
_cell_length_a 5.4281
_cell_length_b 5.4281
_cell_length_c 5.4281
_cell_angle_alpha 123.29
_cell_angle_beta 103.33
_cell_angle_gamma 102.74
_symmetry_space_group_name_H-M 'P 1'
_symmetry_Int_Tables_number 1
loop_
_symmetry_equiv_pos_as_xyz
'x,y,z'
loop_
_atom_site_label
_atom_site_fract_x
_atom_site_fract_y
_atom_site_fract_z
Pr1 0.0000 0.0000 0.0000
Ni1 0.5000 0.2494 0.7494
Ni2 0.5000 0.7506 0.2506
Pt1 0.0009 0.3012 0.6997
Pt2 0.3985 0.6988 0.6997
Pt3 0.6015 0.3012 0.3003
Pt4 0.9991 0.6988 0.3003

***

[3]
# Re3SiS, optimized geometry, DFT GGA-PBE
# Space-group type   No. 221
# Distance to the lowest polymorph of the same formula   0 meV per atom
data_Re3SiS
_cell_length_a 4.3459
_cell_length_b 4.3459
_cell_length_c 4.3459
_cell_angle_alpha 90.00
_cell_angle_beta 90.00
_cell_angle_gamma 90.00
_symmetry_space_group_name_H-M 'P 1'
_symmetry_Int_Tables_number 1
loop_
_symmetry_equiv_pos_as_xyz
'x,y,z'
loop_
_atom_site_label
_atom_site_fract_x
_atom_site_fract_y
_atom_site_fract_z
Re1 0.0000 0.0000 0.5000
Re2 0.0000 0.5000 0.0000
Re3 0.5000 0.0000 0.0000
Si1 0.5000 0.5000 0.5000
S1 0.0000 0.0000 0.0000

***

[4]
# HfZn, optimized geometry, DFT GGA-PBE
# Space-group type   No. 216
# Formation energy from the elements   1286 meV per atom
data_HfZn
_cell_length_a 4.2369
_cell_length_b 4.2369
_cell_length_c 4.2369
_cell_angle_alpha 60.00
_cell_angle_beta 60.00
_cell_angle_gamma 60.00
_symmetry_space_group_name_H-M 'P 1'
_symmetry_Int_Tables_number 1
loop_
_symmetry_equiv_pos_as_xyz
'x,y,z'
loop_
_atom_site_label
_atom_site_fract_x
_atom_site_fract_y
_atom_site_fract_z
Hf1 0.0000 0.0000 0.0000
Zn1 0.2500 0.2500 0.2500